This record from Alexandria via LeMat-Bulk describes crystalline LaCd2Hg at its relaxed geometry. The functional is PBE. Values from VASP.

## Properties
**Raw total energy**: -15.08 eV per cell
**Calculated formation energy**: -0.479 eV/f.u.
**DOS(E_F)**: 4.4 states/eV/cell

```
&SYSTEM
  ibrav = 0, nat = 8, ntyp = 3
/
ATOMIC_SPECIES
La 138.91 La.upf
Cd 112.41 Cd.upf
Hg 200.59 Hg.upf
CELL_PARAMETERS angstrom
-2.2829 2.2829 11.1877
2.2829 -2.2829 11.1877
2.2829 2.2829 -11.1877
ATOMIC_POSITIONS crystal
La 0.0000 0.0000 0.0000
La 0.7500 0.2500 0.5000
Cd 0.1609 0.6250 0.0359
Cd 0.3750 0.4109 0.5359
Cd 0.5891 0.1250 0.9641
Cd 0.8750 0.8391 0.4641
Hg 0.2500 0.7500 0.5000
Hg 0.5000 0.5000 0.0000
```